[1]
{
  "formula": "Sm5Y2Ho12",
  "functional": "PBE",
  "state": "relaxed",
  "cell": [[7.0845, 0.0000, 0.0000], [-3.5422, 8.5001, 0.4916], [0.0000, -2.6353, 10.3890]],
  "species": ["Sm", "Sm", "Sm", "Sm", "Sm", "Ho", "Ho", "Ho", "Ho", "Ho", "Ho", "Ho", "Ho", "Ho", "Ho", "Ho", "Ho", "Y", "Y"],
  "fractional_positions": [[0.2218, 0.4437, 0.9976], [0.0000, 0.0000, 0.5000], [0.7782, 0.5563, 0.0024], [0.2437, 0.4875, 0.4898], [0.7563, 0.5125, 0.5102], [0.1240, 0.7385, 0.2727], [0.0349, 0.0698, 0.2465], [0.9065, 0.3564, 0.2232], [0.8760, 0.2615, 0.7273], [0.6145, 0.7385, 0.2727], [0.3855, 0.2615, 0.7273], [0.5445, 0.0890, 0.3613], [0.4499, 0.3564, 0.2232], [0.5501, 0.6436, 0.7768], [0.4555, 0.9110, 0.6387], [0.0935, 0.6436, 0.7768], [0.9651, 0.9302, 0.7535], [0.2679, 0.0000, 0.0000], [0.7321, 0.0000, 0.0000]],
  "e_tot_ha_per_atom": -0.1667,
  "vol_a3_per_atom": 33.41,
  "sg": "No. 12",
  "formation_energy_mev_per_atom": 278,
  "n_ef_per_ev_atom": 1.4362
}

[2]
{
  "formula": "CeGdYSn",
  "functional": "PBE",
  "state": "relaxed",
  "cell": [[5.4137, 0.0000, 0.0000], [2.7069, 4.6884, 0.0000], [2.7069, 1.5628, 4.4203]],
  "species": ["Gd", "Y", "Sn", "Ce"],
  "fractional_positions": [[0.2500, 0.2500, 0.2500], [0.7500, 0.7500, 0.7500], [0.5000, 0.5000, 0.5000], [0.0000, 0.0000, 0.0000]],
  "e_tot_ha_per_atom": -0.2877,
  "vol_a3_per_atom": 28.05,
  "sg": "No. 216",
  "formation_energy_mev_per_atom": -209,
  "n_ef_per_ev_atom": 2.6132
}

[3]
{
  "formula": "KBa2MnN",
  "functional": "PBE",
  "state": "relaxed",
  "cell": [[-4.0459, -4.1778, -2.1539], [3.4694, -3.4074, 0.0923], [-1.5882, -1.4597, 5.8147]],
  "species": ["Ba", "Ba", "K", "Mn", "N"],
  "fractional_positions": [[0.5000, 0.0000, 0.0000], [0.0000, 0.0000, 0.5000], [0.0000, 0.0000, 0.0000], [0.0000, 0.5000, 0.0000], [0.5000, 0.5000, 0.5000]],
  "e_tot_ha_per_atom": -0.0945,
  "vol_a3_per_atom": 37.42,
  "sg": "No. 123",
  "formation_energy_uncorrected_ev_per_atom": 1.916,
  "n_ef_per_ev_atom": 0.9660
}

[4]
{
  "formula": "LaPr9Mg2",
  "functional": "PBE",
  "state": "relaxed",
  "cell": [[5.1311, 0.0000, 0.0000], [0.0000, 5.1311, 0.0000], [0.0000, 0.0000, 15.4888]],
  "species": ["Pr", "Pr", "Pr", "Pr", "Pr", "Pr", "Pr", "Pr", "Pr", "La", "Mg", "Mg"],
  "fractional_positions": [[0.5000, 0.0000, 0.8270], [0.0000, 0.5000, 0.5000], [0.0000, 0.5000, 0.1730], [0.5000, 0.0000, 0.1730], [0.5000, 0.5000, 0.6622], [0.5000, 0.5000, 0.0000], [0.0000, 0.5000, 0.8270], [0.5000, 0.0000, 0.5000], [0.5000, 0.5000, 0.3378], [0.0000, 0.0000, 0.0000], [0.0000, 0.0000, 0.3379], [0.0000, 0.0000, 0.6621]],
  "e_tot_ha_per_atom": -0.1566,
  "vol_a3_per_atom": 33.98,
  "sg": "No. 123",
  "formation_energy_mev_per_atom": 1,
  "n_ef_per_ev_atom": 1.4771
}

[5]
{
  "formula": "AgBr3",
  "functional": "PBE",
  "state": "relaxed",
  "cell": [[10.0399, 0.0000, 0.0000], [0.0000, 10.0399, 0.0000], [5.0199, 5.0199, 2.7284]],
  "species": ["Ag", "Ag", "Br", "Br", "Br", "Br", "Br", "Br"],
  "fractional_positions": [[0.7500, 0.2500, 0.5000], [0.0000, 0.0000, 0.0000], [0.3750, 0.1961, 0.7500], [0.2500, 0.7500, 0.5000], [0.9461, 0.6250, 0.2500], [0.8750, 0.0539, 0.7500], [0.8039, 0.1250, 0.2500], [0.5000, 0.5000, 0.0000]],
  "e_tot_ha_per_atom": -0.0696,
  "vol_a3_per_atom": 34.38,
  "sg": "No. 122",
  "formation_energy_uncorrected_ev_per_atom": 0.074,
  "n_ef_per_ev_atom": 1.0833
}

[6]
{
  "formula": "Ga2SbPd7",
  "functional": "PBE",
  "state": "relaxed",
  "cell": [[-3.4607, -0.0256, -2.7107], [-4.1056, -2.4832, 5.2650], [0.5310, 7.0644, -0.7446]],
  "species": ["Sb", "Pd", "Pd", "Pd", "Pd", "Pd", "Pd", "Pd", "Ga", "Ga"],
  "fractional_positions": [[0.0000, 0.0000, 0.0000], [0.5000, 0.5000, 0.5000], [0.5000, 0.9301, 0.6956], [0.5000, 0.0699, 0.3044], [0.0000, 0.2159, 0.7841], [0.5000, 0.6956, 0.9301], [0.5000, 0.3044, 0.0699], [0.0000, 0.7841, 0.2159], [0.5000, 0.3012, 0.6988], [0.5000, 0.6988, 0.3012]],
  "e_tot_ha_per_atom": -0.1754,
  "vol_a3_per_atom": 19.74,
  "sg": "No. 65",
  "formation_energy_uncorrected_ev_per_atom": -0.119,
  "n_ef_per_ev_atom": 0.4288
}